[1]
# Th6Ga3Ru (GGA-PBE, optimized geometry)
# formation energy: -0.19 eV/atom
data_Th6Ga3Ru
_chemical_formula_sum 'Th36 Ga18 Ru6'
_cell_length_a 11.8850
_cell_length_b 11.8850
_cell_length_c 13.9856
_cell_angle_alpha 90.00
_cell_angle_beta 90.00
_cell_angle_gamma 120.00
_space_group_name_H-M_alt 'R -3'
_space_group_IT_number 148
_space_group_name_Hall '-R 3'
loop_
_atom_site_label
_atom_site_fract_x
_atom_site_fract_y
_atom_site_fract_z
Th1 0.0563 0.2045 0.3773
Th2 0.0952 0.8794 0.1169
Ga1 0.0302 0.4768 0.4102
Ru1 0.0000 0.0000 0.0000
Ru2 0.0000 0.0000 0.5000

[2]
# HgP2Ru (GGA-PBE, optimized geometry)
# formation energy: 0.84 eV/atom
data_HgP2Ru
_chemical_formula_sum 'Hg4 P8 Ru4'
_cell_length_a 6.3987
_cell_length_b 6.3987
_cell_length_c 6.3987
_cell_angle_alpha 90.00
_cell_angle_beta 90.00
_cell_angle_gamma 90.00
_space_group_name_H-M_alt 'F -4 3 m'
_space_group_IT_number 216
_space_group_name_Hall 'F -4 2 3'
loop_
_atom_site_label
_atom_site_fract_x
_atom_site_fract_y
_atom_site_fract_z
Hg1 0.0000 0.0000 0.0000
P1 0.0000 0.0000 0.5000
P2 0.2500 0.2500 0.7500
Ru1 0.2500 0.2500 0.2500

[3]
# CuSiOs (GGA-PBE, optimized geometry)
# formation energy (no corrections): 0.03 eV/atom
# ΔE to the lowest computed polymorph: 3.2 kJ per mole of atoms
data_CuSiOs
_chemical_formula_sum 'Cu2 Si2 Os2'
_cell_length_a 2.9961
_cell_length_b 2.9961
_cell_length_c 8.6648
_cell_angle_alpha 90.00
_cell_angle_beta 90.00
_cell_angle_gamma 90.00
_space_group_name_H-M_alt 'I 4 m m'
_space_group_IT_number 107
_space_group_name_Hall 'I 4 -2'
loop_
_atom_site_label
_atom_site_fract_x
_atom_site_fract_y
_atom_site_fract_z
Cu1 0.0000 0.0000 0.0000
Si1 0.0000 0.0000 0.6622
Os1 0.0000 0.0000 0.3056

no.,Fermi-level density of states (states/eV per atom),calculated total energy (eV/cell)
1,1.07,-388.92
2,0.80,-68.22
3,1.04,-41.31